{"formula": "AlCdAs3", "functional": "PBE", "state": "relaxed", "cell": [[-4.5402, -2.4797, 0.2588], [0.8632, -2.0678, -4.6699], [2.3389, -4.0503, 2.2257]], "species": ["Cd", "As", "As", "As", "Al"], "frac_coords": [[0.0000, 0.0000, 0.0000], [0.0000, 0.0000, 0.5000], [0.5000, 0.0000, 0.0000], [0.0000, 0.5000, 0.0000], [0.5000, 0.5000, 0.5000]], "density_g_cm3": 4.35, "dos_ef_per_ev_cell": 6.50, "formation_enthalpy_0k_ev_per_atom": 1.04, "polymorph_energy_ev_per_atom": 0.5377, "sg": "Pm-3m"}